First-principles (GGA-PBE) data for an optimized crystal structure of TaV6W2, as listed in Alexandria.

Results
E_form ... 1.108 eV/f.u.
E above lowest polymorph ... 0.000 eV/atom
Calculated volume ... 134 Å³/f.u.

abc: 13.385 7.705 2.602
angles: 90.00 93.07 90.00
Space group C2/m (No. 12)
One atom of each set of equivalent atoms:
Ta 0.000 0.000 0.000 (multiplicity 2)
V 0.000 0.333 0.500 (multiplicity 4)
V 0.170 0.172 0.331 (multiplicity 8)
W 0.168 0.500 0.995 (multiplicity 4)



First-principles (GGA-PBE) data for an optimized crystal structure of Sc2AgAu, as listed in Alexandria.

Results
E_form ... -2.194 eV/f.u.
E above lowest polymorph ... 0.003 eV/atom
Calculated volume ... 80 Å³/f.u.

abc: 4.833 3.409 9.693
angles: 90.00 90.00 90.00
Space group Pmma (No. 51)
One atom of each set of equivalent atoms:
Sc 0.250 0.000 0.120 (multiplicity 2)
Sc 0.250 0.000 0.628 (multiplicity 2)
Ag 0.250 0.500 0.377 (multiplicity 2)
Au 0.250 0.500 0.869 (multiplicity 2)